# 1
# GGA-PBE InFeSe, optimized geometry
data_InFeSe
_space_group_name_H-M_alt 'P 3 m 1'
_space_group_IT_number 156
_cell_length_a 4.1766
_cell_length_b 4.1766
_cell_length_c 4.2796
_cell_angle_alpha 90.00
_cell_angle_beta 90.00
_cell_angle_gamma 120.00
loop_
_space_group_symop_operation_xyz
'x,y,z'
'-y,x-y,z'
'-x+y,-x,z'
'-y,-x,z'
'-x+y,y,z'
'x,x-y,z'
loop_
_atom_site_label
_atom_site_type_symbol
_atom_site_fract_x
_atom_site_fract_y
_atom_site_fract_z
In1 In 0.0000 0.0000 0.0000
Fe1 Fe 0.3333 0.6667 0.4986
Se1 Se 0.6667 0.3333 0.5001
# - Formation energy without anion corrections: 82 meV/atom
# - Raw total energy: -4.813 eV/atom
# - Offset from the most stable computed form: 55 meV/atom
# - DOS(E_F): 0.5055 states/eV per atom

***

# 2
# GGA-PBE InFeSe2, optimized geometry
data_InFeSe2
_space_group_name_H-M_alt 'I m m 2'
_space_group_IT_number 44
_cell_length_a 3.222
_cell_length_b 3.393
_cell_length_c 15.852
_cell_angle_alpha 90.00
_cell_angle_beta 90.00
_cell_angle_gamma 90.00
loop_
_space_group_symop_operation_xyz
'x,y,z'
'-x,-y,z'
'-x,y,z'
'x,-y,z'
'x+1/2,y+1/2,z+1/2'
'-x+1/2,-y+1/2,z+1/2'
'-x+1/2,y+1/2,z+1/2'
'x+1/2,-y+1/2,z+1/2'
loop_
_atom_site_label
_atom_site_type_symbol
_atom_site_fract_x
_atom_site_fract_y
_atom_site_fract_z
In1 In 0.000 0.000 0.000
Fe1 Fe 0.000 0.500 0.257
Se1 Se 0.000 0.000 0.644
Se2 Se 0.000 0.500 0.827
# - Formation energy without anion corrections: -40 meV/atom
# - Raw total energy: -4.582 eV/atom
# - DOS(E_F): 0.8876 states/eV per atom

***

# 3
# GGA-PBE In2FeSe, optimized geometry
data_In2FeSe
_space_group_name_H-M_alt 'I m m 2'
_space_group_IT_number 44
_cell_length_a 3.081
_cell_length_b 4.596
_cell_length_c 12.335
_cell_angle_alpha 90.00
_cell_angle_beta 90.00
_cell_angle_gamma 90.00
loop_
_space_group_symop_operation_xyz
'x,y,z'
'-x,-y,z'
'-x,y,z'
'x,-y,z'
'x+1/2,y+1/2,z+1/2'
'-x+1/2,-y+1/2,z+1/2'
'-x+1/2,y+1/2,z+1/2'
'x+1/2,-y+1/2,z+1/2'
loop_
_atom_site_label
_atom_site_type_symbol
_atom_site_fract_x
_atom_site_fract_y
_atom_site_fract_z
In1 In 0.000 0.000 0.000
In2 In 0.000 0.500 0.177
Fe1 Fe 0.000 0.000 0.470
Se1 Se 0.000 0.500 0.823
# - Formation energy without anion corrections: 71 meV/atom
# - Raw total energy: -4.285 eV/atom
# - DOS(E_F): 0.8496 states/eV per atom

***

- What is the formation energy without anion corrections in the third record?
  71 meV/atom

***

Please write out number 2 again, unchanged.
# GGA-PBE InFeSe2, optimized geometry
data_InFeSe2
_space_group_name_H-M_alt 'I m m 2'
_space_group_IT_number 44
_cell_length_a 3.222
_cell_length_b 3.393
_cell_length_c 15.852
_cell_angle_alpha 90.00
_cell_angle_beta 90.00
_cell_angle_gamma 90.00
loop_
_space_group_symop_operation_xyz
'x,y,z'
'-x,-y,z'
'-x,y,z'
'x,-y,z'
'x+1/2,y+1/2,z+1/2'
'-x+1/2,-y+1/2,z+1/2'
'-x+1/2,y+1/2,z+1/2'
'x+1/2,-y+1/2,z+1/2'
loop_
_atom_site_label
_atom_site_type_symbol
_atom_site_fract_x
_atom_site_fract_y
_atom_site_fract_z
In1 In 0.000 0.000 0.000
Fe1 Fe 0.000 0.500 0.257
Se1 Se 0.000 0.000 0.644
Se2 Se 0.000 0.500 0.827
# - Formation energy without anion corrections: -40 meV/atom
# - Raw total energy: -4.582 eV/atom
# - DOS(E_F): 0.8876 states/eV per atom